This record from the Alexandria database describes a relaxed Na2CaNpS4 crystal. The functional is GGA-PBE.

Output
Energy relative to the elements, uncorrected (eV/atom): -1.485
SG: I-4m2 (119)

```
Na2CaNpS4
1.0
-3.943 3.106 -2.446
-3.676 -4.155 0.648
2.271 2.703 6.146
Na Ca Np S
2 1 1 4
Direct
0.250 0.750 0.500
0.000 0.000 0.000
0.500 0.500 0.000
0.750 0.250 0.500
0.973 0.473 0.945
0.527 0.027 0.055
0.742 0.742 0.484
0.258 0.258 0.516
```